# 1
# SrCu2Sb2Pb (PBE, optimized geometry)
data_SrCu2Sb2Pb
_chemical_formula_sum 'Sr1 Cu2 Sb2 Pb1'
_space_group_name_H-M_alt 'P 3 m 1'
_space_group_IT_number 156
_cell_length_a 4.5168
_cell_length_b 4.5168
_cell_length_c 8.7257
_cell_angle_alpha 90.00
_cell_angle_beta 90.00
_cell_angle_gamma 120.00
loop_
_space_group_symop_operation_xyz
'x,y,z'
'-y,x-y,z'
'-x+y,-x,z'
'-y,-x,z'
'-x+y,y,z'
'x,x-y,z'
loop_
_atom_site_label
_atom_site_fract_x
_atom_site_fract_y
_atom_site_fract_z
Sr1 0.0000 0.0000 0.0000
Cu1 0.3333 0.6667 0.2663
Cu2 0.6667 0.3333 0.7383
Sb1 0.3333 0.6667 0.7491
Sb2 0.6667 0.3333 0.2502
Pb1 0.0000 0.0000 0.4996
# calculated volume	25.7	Å³ per atom
# calculated total energy	-23.0	eV/cell
# theoretical density	7.2	Mg/m³

# 2
# PrNdSi3Ag (PBE, optimized geometry)
data_PrNdSi3Ag
_chemical_formula_sum 'Pr8 Nd8 Si24 Ag8'
_space_group_name_H-M_alt 'F m m m'
_space_group_IT_number 69
_space_group_name_Hall '-F 2 2'
_cell_length_a 8.3752
_cell_length_b 8.5569
_cell_length_c 14.4630
_cell_angle_alpha 90.00
_cell_angle_beta 90.00
_cell_angle_gamma 90.00
loop_
_atom_site_label
_atom_site_fract_x
_atom_site_fract_y
_atom_site_fract_z
Pr1 0.2500 0.2500 0.2500
Nd1 0.0000 0.2419 0.0000
Si1 0.0000 0.0000 0.1634
Si2 0.2454 0.0000 0.0815
Ag1 0.0000 0.0000 0.3348
# calculated volume	21.6	Å³ per atom
# calculated total energy	-260.8	eV/cell
# theoretical density	6.1	Mg/m³

# 3
# AcGaFe (PBE, optimized geometry)
data_AcGaFe
_chemical_formula_sum 'Ac4 Ga4 Fe4'
_space_group_name_H-M_alt 'F -4 3 m'
_space_group_IT_number 216
_space_group_name_Hall 'F -4 2 3'
_cell_length_a 6.9829
_cell_length_b 6.9829
_cell_length_c 6.9829
_cell_angle_alpha 90.00
_cell_angle_beta 90.00
_cell_angle_gamma 90.00
loop_
_atom_site_label
_atom_site_fract_x
_atom_site_fract_y
_atom_site_fract_z
Ac1 0.0000 0.0000 0.0000
Ga1 0.2500 0.2500 0.2500
Fe1 0.2500 0.2500 0.7500
# calculated volume	28.4	Å³ per atom
# calculated total energy	-51.5	eV/cell
# theoretical density	6.9	Mg/m³
# energy above the most stable polymorph in this dataset	671	meV/atom

# 4
# LuNiSbPd (PBE, optimized geometry)
data_LuNiSbPd
_chemical_formula_sum 'Lu4 Ni4 Sb4 Pd4'
_space_group_name_H-M_alt 'F -4 3 m'
_space_group_IT_number 216
_space_group_name_Hall 'F -4 2 3'
_cell_length_a 6.5945
_cell_length_b 6.5945
_cell_length_c 6.5945
_cell_angle_alpha 90.00
_cell_angle_beta 90.00
_cell_angle_gamma 90.00
loop_
_atom_site_label
_atom_site_fract_x
_atom_site_fract_y
_atom_site_fract_z
Lu1 0.0000 0.0000 0.0000
Ni1 0.2500 0.2500 0.7500
Sb1 0.0000 0.0000 0.5000
Pd1 0.2500 0.2500 0.2500
# calculated volume	17.9	Å³ per atom
# calculated total energy	-88.1	eV/cell
# theoretical density	10.7	Mg/m³
# energy above the most stable polymorph in this dataset	0	meV/atom

# 5
# CsCu3SeS (PBE, optimized geometry)
data_CsCu3SeS
_chemical_formula_sum 'Cs1 Cu3 Se1 S1'
_space_group_name_H-M_alt 'P 3 m 1'
_space_group_IT_number 156
_cell_length_a 5.3736
_cell_length_b 5.3736
_cell_length_c 7.0354
_cell_angle_alpha 90.00
_cell_angle_beta 90.00
_cell_angle_gamma 120.00
loop_
_space_group_symop_operation_xyz
'x,y,z'
'-y,x-y,z'
'-x+y,-x,z'
'-y,-x,z'
'-x+y,y,z'
'x,x-y,z'
loop_
_atom_site_label
_atom_site_fract_x
_atom_site_fract_y
_atom_site_fract_z
Cs1 0.0000 0.0000 0.0000
Cu1 0.5018 0.0037 0.4922
Se1 0.3333 0.6667 0.7322
S1 0.6667 0.3333 0.2715
# calculated volume	29.3	Å³ per atom
# calculated total energy	-22.7	eV/cell
# theoretical density	4.1	Mg/m³

# 6
# ZrPb (PBE, optimized geometry)
data_ZrPb
_chemical_formula_sum 'Zr6 Pb6'
_space_group_name_H-M_alt 'P 1 21/m 1'
_space_group_IT_number 11
_cell_length_a 6.3579
_cell_length_b 5.6243
_cell_length_c 8.6073
_cell_angle_alpha 90.00
_cell_angle_beta 101.67
_cell_angle_gamma 90.00
loop_
_space_group_symop_operation_xyz
'x,y,z'
'-x,-y,-z'
'-x,y+1/2,-z'
'x,-y+1/2,z'
loop_
_atom_site_label
_atom_site_fract_x
_atom_site_fract_y
_atom_site_fract_z
Zr1 0.1423 0.2500 0.2630
Zr2 0.1755 0.7500 0.0796
Zr3 0.2886 0.2500 0.9269
Pb1 0.0041 0.7500 0.4048
Pb2 0.3705 0.7500 0.7825
Pb3 0.5000 0.2500 0.5953
# calculated volume	25.1	Å³ per atom
# calculated total energy	-73.7	eV/cell
# theoretical density	9.9	Mg/m³